Nd2BeRhO6 after structural relaxation, computed with PBE.

Cell lengths 5.4109, 5.4922, 7.5806 Å; angles 90.00, 89.93, 90.00 degrees
Site moments in Bohr magnetons follow the coordinates.
Atoms (fractional coordinates):
O  0.0757  0.4873  0.7377  0.06
O  0.4243  0.9873  0.7623  0.06
O  0.7972  0.7794  0.5420  0.05
Be  0.5000  0.0000  0.0000  0.00
O  0.2972  0.7206  0.0420  0.05
O  0.7028  0.2794  0.9580  0.05
Nd  0.5094  0.5484  0.7509  0.00
O  0.7189  0.2956  0.5395  0.06
Nd  0.4906  0.4516  0.2491  0.00
Nd  0.0094  0.9516  0.2509  0.00
O  0.2028  0.2206  0.4580  0.05
Rh  0.5000  0.0000  0.5000  0.46
O  0.2811  0.7044  0.4605  0.06
Nd  0.9906  0.0484  0.7491  0.00
O  0.9243  0.5127  0.2623  0.06
O  0.5757  0.0127  0.2377  0.06
Be  0.0000  0.5000  0.5000  0.00
O  0.2189  0.2044  0.0395  0.06
Rh  0.0000  0.5000  0.0000  0.46
O  0.7811  0.7956  0.9605  0.06

Summary:
The value obtained for the density is 7.32 g cm⁻³. For the magnetic moment, the calculation gives 0.87 μB per formula unit. The uncorrected formation energy comes out at -2.332 eV/atom. The calculated total energy comes out at -7.37 eV/atom.